# 1
# GGA-PBE Li5Pm12Sc3, relaxed
data_Li5Pm12Sc3
_symmetry_space_group_name_H-M 'I a -3 d'
_symmetry_Int_Tables_number 230
_symmetry_space_group_name_Hall '-I 4bd 2c 3'
_cell_length_a 17.860
_cell_length_b 17.860
_cell_length_c 17.860
_cell_angle_alpha 90.00
_cell_angle_beta 90.00
_cell_angle_gamma 90.00
loop_
_atom_site_label
_atom_site_type_symbol
_atom_site_fract_x
_atom_site_fract_y
_atom_site_fract_z
Li1 Li 0.000 0.000 0.000
Li2 Li 0.000 0.250 0.375
Pm1 Pm 0.018 0.076 0.646
Sc1 Sc 0.000 0.250 0.125
# Density of states at the Fermi level (states/eV per cell): 272.59
# Energy of formation (kJ/mol of atoms): 69.79
# E_tot (eV per atom): -3.555

# 2
# GGA-PBE Ca6ZnCu2, relaxed
data_Ca6ZnCu2
_symmetry_space_group_name_H-M 'I m m m'
_symmetry_Int_Tables_number 71
_symmetry_space_group_name_Hall '-I 2 2'
_cell_length_a 9.808
_cell_length_b 10.042
_cell_length_c 10.823
_cell_angle_alpha 90.00
_cell_angle_beta 90.00
_cell_angle_gamma 90.00
loop_
_atom_site_label
_atom_site_type_symbol
_atom_site_fract_x
_atom_site_fract_y
_atom_site_fract_z
Ca1 Ca 0.000 0.195 0.237
Ca2 Ca 0.198 0.500 0.174
Ca3 Ca 0.218 0.318 0.500
Zn1 Zn 0.000 0.000 0.000
Zn2 Zn 0.000 0.000 0.500
Cu1 Cu 0.000 0.367 0.000
Cu2 Cu 0.000 0.500 0.385
# Density of states at the Fermi level (states/eV per cell): 34.07
# Energy of formation (kJ/mol of atoms): -10.13
# E_tot (eV per atom): -2.491